A plane-wave DFT calculation with PBE was carried out for Dy3TmPu3Se8 after structural relaxation.

Results
Its size of the total moment is 17.38 Bohr magnetons per cell. The formation energy (no corrections) is -25.87 eV per formula unit. As for the crystal system: trigonal. As for the space group: No. 166. For the total energy, the calculation gives -115.02 eV/cell.

Geometry as POSCAR:
```
Dy3TmPu3Se8
1.0
4.091 2.362 6.719
-4.091 2.362 6.719
0.000 -4.724 6.719
Dy Tm Pu Se
3 1 3 8
direct
0.000 0.500 0.500
0.500 0.000 0.500
0.500 0.500 0.000
0.000 0.000 0.000
0.000 0.000 0.500
0.000 0.500 0.000
0.500 0.000 0.000
0.248 0.248 0.748
0.248 0.748 0.248
0.251 0.251 0.251
0.252 0.752 0.752
0.748 0.248 0.248
0.749 0.749 0.749
0.752 0.252 0.752
0.752 0.752 0.252
```


A plane-wave DFT calculation with PBE was carried out for DyTmPu2Se5 after structural relaxation.

Results
Its size of the total moment is 11.88 Bohr magnetons per cell. The formation energy (no corrections) is -10.61 eV per formula unit. As for the crystal system: tetragonal. As for the space group: No. 123. For the total energy, the calculation gives -65.77 eV/cell.

Geometry as POSCAR:
```
DyTmPu2Se5
1.0
5.085 0.000 0.000
0.000 5.085 0.000
0.000 0.000 10.725
Dy Tm Pu Se
1 1 2 5
direct
0.000 0.000 0.000
0.000 0.000 0.500
0.500 0.500 0.306
0.500 0.500 0.694
0.000 0.000 0.245
0.000 0.000 0.755
0.000 0.500 0.500
0.500 0.000 0.500
0.500 0.500 0.000
```


Among the records above, which one has the lowest size of the total moment?
DyTmPu2Se5


Which of these has the lowest size of the total moment?
DyTmPu2Se5


Among the records above, which one has the lowest size of the total moment?
DyTmPu2Se5


Which of these has the lowest size of the total moment?
DyTmPu2Se5